(1)
## ThNi2P2Ru (GGA-PBE)

Data for a geometry-optimized ThNi2P2Ru structure.

Calculated values
Energy relative to the elements ... -437 kJ/mol of formula units
Magnetization ... 0.0 Bohr magnetons per cell

a = 3.8879 Å, b = 3.8879 Å, c = 6.9063 Å
α = 90.00°, β = 90.00°, γ = 120.00°
Closest atoms and distances in Å follow each position.
Element x y z (fractional)
Th1 0.0000 0.0000 0.0000  6 Ni 3.04, 6 P 3.05
Ni1 0.3333 0.6667 0.7042  3 P 2.24
Ni2 0.6667 0.3333 0.2958  3 P 2.24
P1 0.3333 0.6667 0.2987  3 Ni 2.24
P2 0.6667 0.3333 0.7013  3 Ni 2.24
Ru1 0.0000 0.0000 0.5000  6 P 2.64, 6 Ni 2.65

(2)
## ThNiP2Ru (GGA-PBE)

Data for a geometry-optimized ThNiP2Ru structure.

Calculated values
Energy relative to the elements ... -450 kJ/mol of formula units
Magnetization ... 0.0 Bohr magnetons per cell

a = 6.1020 Å, b = 6.1020 Å, c = 6.1020 Å
α = 143.06°, β = 143.06°, γ = 53.23°
Closest atoms and distances in Å follow each position.
Element x y z (fractional)
Th1 0.0000 0.0000 0.0000  8 P 3.08, 4 Ni 3.34, 4 Ru 3.34
Ni1 0.7500 0.2500 0.5000  4 P 2.33
P1 0.3698 0.3698 0.0000  2 Ni 2.33, 2 Ru 2.33
P2 0.6302 0.6302 0.0000  2 Ni 2.33, 2 Ru 2.33
Ru1 0.2500 0.7500 0.5000  4 P 2.33

(3)
## ThNiP2Ru2 (GGA-PBE)

Data for a geometry-optimized ThNiP2Ru2 structure.

Calculated values
Energy relative to the elements ... -150 kJ/mol of formula units
Magnetization ... 0.0 Bohr magnetons per cell

a = 4.3115 Å, b = 4.3115 Å, c = 5.3750 Å
α = 90.00°, β = 90.00°, γ = 90.00°
Closest atoms and distances in Å follow each position.
Element x y z (fractional)
Th1 0.0000 0.0000 0.0000  2 Ni 2.69
Ni1 0.0000 0.0000 0.5000  4 P 2.16
P1 0.0000 0.5000 0.5000  2 Ni 2.16
P2 0.5000 0.0000 0.5000  2 Ni 2.16
Ru1 0.5000 0.5000 0.2456  4 P 2.55, 2 Ru 2.64-2.73
Ru2 0.5000 0.5000 0.7544  4 P 2.55, 2 Ru 2.64-2.73

(4)
## Th2Ni4P3Ru (GGA-PBE)

Data for a geometry-optimized Th2Ni4P3Ru structure.

Calculated values
Energy relative to the elements ... -780 kJ/mol of formula units
Magnetization ... 0.0 Bohr magnetons per cell

a = 3.9119 Å, b = 3.9119 Å, c = 10.0518 Å
α = 90.00°, β = 90.00°, γ = 90.00°
Closest atoms and distances in Å follow each position.
Element x y z (fractional)
Th1 0.0000 0.5000 0.2492  8 Ni 2.92-3.18, 6 P 3.05-3.19, 2 Ru 3.19
Th2 0.5000 0.0000 0.7508  8 Ni 2.92-3.18, 6 P 3.05-3.19, 2 Ru 3.19
Ni1 0.0000 0.0000 0.0000  4 P 2.30
Ni2 0.0000 0.5000 0.6563  3 P 2.24-2.51, 2 Ru 2.51
Ni3 0.5000 0.0000 0.3437  3 P 2.24-2.51, 2 Ru 2.51
Ni4 0.5000 0.5000 0.0000  4 P 2.30
P1 0.0000 0.5000 0.8792  5 Ni 2.24-2.30
P2 0.5000 0.0000 0.1208  5 Ni 2.24-2.30
P3 0.5000 0.5000 0.5000  4 Ni 2.51, 4 Ru 2.77
Ru1 0.0000 0.0000 0.5000  4 Ni 2.51, 4 P 2.77

(5)
## Ti2NiPRu (GGA-PBE)

Data for a geometry-optimized Ti2NiPRu structure.

Calculated values
Energy relative to the elements ... 267 kJ/mol of formula units
Magnetization ... 0.2 Bohr magnetons per cell

a = 4.3856 Å, b = 4.3856 Å, c = 4.4691 Å
α = 90.00°, β = 90.00°, γ = 90.00°
Closest atoms and distances in Å follow each position.
Element x y z (fractional)
Ti1 0.0000 0.5000 0.0000  2 Ni 2.19
Ti2 0.5000 0.0000 0.0000  2 Ni 2.19
Ni1 0.0000 0.0000 0.0000  4 Ti 2.19, 2 Ru 2.23
P1 0.5000 0.5000 0.5000  4 Ru 3.10, 8 Ti 3.13
Ru1 0.0000 0.0000 0.5000  2 Ni 2.23

(6)
## TmNiP2Ru (GGA-PBE)

Data for a geometry-optimized TmNiP2Ru structure.

Calculated values
Energy relative to the elements ... -449 kJ/mol of formula units
Magnetization ... 0.0 Bohr magnetons per cell

a = 5.5759 Å, b = 5.5759 Å, c = 5.5759 Å
α = 139.23°, β = 139.23°, γ = 59.03°
Closest atoms and distances in Å follow each position.
Element x y z (fractional)
Tm1 0.0000 0.0000 0.0000  8 P 2.97, 4 Ni 3.11, 4 Ru 3.11
Ni1 0.7500 0.2500 0.5000  4 P 2.34
P1 0.3837 0.3837 0.0000  1 P 2.26, 2 Ru 2.34, 2 Ni 2.34
P2 0.6163 0.6163 0.0000  1 P 2.26, 2 Ni 2.34, 2 Ru 2.34
Ru1 0.2500 0.7500 0.5000  4 P 2.34

(7)
## Tm2Ni4P3Ru (GGA-PBE)

Data for a geometry-optimized Tm2Ni4P3Ru structure.

Calculated values
Energy relative to the elements ... -755 kJ/mol of formula units
Magnetization ... 0.0 Bohr magnetons per cell

a = 3.7833 Å, b = 3.7833 Å, c = 9.9772 Å
α = 90.00°, β = 90.00°, γ = 90.00°
Closest atoms and distances in Å follow each position.
Element x y z (fractional)
Tm1 0.0000 0.5000 0.2418  8 Ni 2.87-3.07, 6 P 2.90-3.20, 2 Ru 3.20
Tm2 0.5000 0.0000 0.7582  8 Ni 2.87-3.07, 6 P 2.90-3.20, 2 Ru 3.20
Ni1 0.0000 0.0000 0.0000  4 P 2.28
Ni2 0.0000 0.5000 0.6528  3 P 2.18-2.43, 2 Ru 2.43
Ni3 0.5000 0.0000 0.3472  3 P 2.18-2.43, 2 Ru 2.43
Ni4 0.5000 0.5000 0.0000  4 P 2.28
P1 0.0000 0.5000 0.8716  5 Ni 2.18-2.28
P2 0.5000 0.0000 0.1284  5 Ni 2.18-2.28
P3 0.5000 0.5000 0.5000  4 Ni 2.43, 4 Ru 2.68
Ru1 0.0000 0.0000 0.5000  4 Ni 2.43, 4 P 2.68

(8)
## U2Ni3P4Ru (GGA-PBE)

Data for a geometry-optimized U2Ni3P4Ru structure.

Calculated values
Energy relative to the elements ... -708 kJ/mol of formula units
Magnetization ... 5.2 Bohr magnetons per cell

a = 4.0180 Å, b = 4.0180 Å, c = 9.1160 Å
α = 90.00°, β = 90.00°, γ = 90.00°
Closest atoms and distances in Å follow each position.
Element x y z (fractional)
U1 0.0000 0.5000 0.2398  8 P 2.97-3.04, 7 Ni 3.07-3.21, 2 Ru 3.11
U2 0.5000 0.0000 0.7602  8 P 2.97-3.04, 7 Ni 3.07-3.21, 2 Ru 3.11
Ni1 0.0000 0.5000 0.8872  5 P 2.24-2.26
Ni2 0.5000 0.0000 0.1128  5 P 2.24-2.26
Ni3 0.5000 0.5000 0.5000  4 P 2.39
P1 0.0000 0.0000 0.0000  4 Ni 2.26
P2 0.0000 0.5000 0.6414  3 Ni 2.24-2.39, 2 Ru 2.39
P3 0.5000 0.0000 0.3586  3 Ni 2.24-2.39, 2 Ru 2.39
P4 0.5000 0.5000 0.0000  4 Ni 2.26
Ru1 0.0000 0.0000 0.5000  4 P 2.39